Record 1
Material: HfAl2Os2
Method: DFT, PBE
State: relaxed

The structure in extended XYZ format:
```
10
Lattice="-2.286 -1.559 -6.673 -2.945 -6.128 2.441 -2.610 1.474 0.550" Properties=species:S:1:pos:R:3 pbc="T T T"
Os -3.858 -5.310 -4.081
Al -4.306 -2.772 -4.564
Os -3.301 -5.751 -0.259
Al -3.536 -3.441 0.882
Al -5.298 -5.509 -1.941
Al -2.544 -0.705 -1.741
Hf 0.000 0.000 0.000
Os -1.931 -1.936 -3.973
Hf -2.616 -3.843 -2.116
Os -1.373 -2.376 -0.151
```

Summary:
Excess energy over the best structure of this formula in the dataset ... 0.028 eV per atom
Formation enthalpy at 0 K ... -0.347 eV per atom
Space group ... P4/mbm, No. 127

---

Record 2
Material: HfAl5Os
Method: DFT, PBE
State: relaxed

The structure in extended XYZ format:
```
7
Lattice="-3.041 2.494 1.518 -0.936 -2.909 2.904 4.441 2.822 4.259" Properties=species:S:1:pos:R:3 pbc="T T T"
Hf 0.000 0.000 0.000
Al 2.641 0.521 4.434
Al -0.188 2.093 2.037
Al -1.989 -0.207 2.211
Al 0.864 -0.608 2.729
Os 2.221 1.411 2.130
Al 1.589 3.223 3.741
```

Summary:
Formation enthalpy at 0 K ... -0.415 eV per atom
Space group ... P4/mmm, No. 123

---

Record 3
Material: HfAlOs3
Method: DFT, PBE
State: relaxed

The structure in extended XYZ format:
```
5
Lattice="-3.015 1.537 -2.837 -3.159 -0.620 3.022 0.654 4.093 1.523" Properties=species:S:1:pos:R:3 pbc="T T T"
Os -1.580 -0.310 1.511
Os -1.508 0.768 -1.418
Hf -2.761 2.505 0.854
Al 0.000 0.000 0.000
Os 0.327 2.047 0.761
```

Summary:
Excess energy over the best structure of this formula in the dataset ... 0.000 eV per atom
Formation enthalpy at 0 K ... 0.802 eV per atom
Space group ... Pm-3m, No. 221

---

Record 4
Material: Hf2Al2Os
Method: DFT, PBE
State: relaxed

The structure in extended XYZ format:
```
5
Lattice="-3.032 -1.610 -0.130 1.081 -1.818 -2.707 1.826 -7.388 3.510" Properties=species:S:1:pos:R:3 pbc="T T T"
Os 0.000 0.000 0.000
Hf -0.432 -2.814 -0.463
Al 0.966 -5.460 -0.308
Hf 0.308 -8.002 1.136
Al -1.091 -5.356 0.981
```

Summary:
Excess energy over the best structure of this formula in the dataset ... 0.437 eV per atom
Formation enthalpy at 0 K ... 0.049 eV per atom
Space group ... I4/mmm, No. 139

---

Record 5
Material: Hf2Al2Os
Method: DFT, PBE
State: relaxed

The structure in extended XYZ format:
```
5
Lattice="-0.458 -1.600 -3.476 -1.201 -3.263 1.661 -6.790 -0.331 -1.089" Properties=species:S:1:pos:R:3 pbc="T T T"
Al -1.916 -2.049 -0.940
Al -6.533 -3.145 -1.963
Os 0.000 0.000 0.000
Hf -4.039 -2.181 -2.736
Hf -4.410 -3.013 -0.168
```

Summary:
Excess energy over the best structure of this formula in the dataset ... 0.961 eV per atom
Formation enthalpy at 0 K ... 0.573 eV per atom
Space group ... I4/mmm, No. 139

---

Record 6
Material: HfAlOs3
Method: DFT, PBE
State: relaxed

The structure in extended XYZ format:
```
5
Lattice="-2.128 -2.378 3.547 0.235 -4.023 -2.556 4.264 -0.965 1.911" Properties=species:S:1:pos:R:3 pbc="T T T"
Os 0.118 -2.011 -1.278
Al 1.186 -3.683 1.452
Hf 0.000 0.000 0.000
Os 2.132 -0.483 0.956
Os -1.064 -1.189 1.774
```

Summary:
Excess energy over the best structure of this formula in the dataset ... 1.432 eV per atom
Formation enthalpy at 0 K ... 2.234 eV per atom
Space group ... Pm-3m, No. 221

---

Record 7
Material: Hf6AlOs
Method: DFT, PBE
State: relaxed

The structure in extended XYZ format:
```
8
Lattice="6.095 0.790 0.000 2.289 5.686 0.000 1.145 2.843 5.304" Properties=species:S:1:pos:R:3 pbc="T T T"
Hf 3.249 4.436 2.204
Hf 2.144 1.644 0.000
Al 0.000 0.000 0.000
Hf 6.280 4.882 3.100
Hf 5.136 2.039 2.204
Os 4.192 3.238 0.000
Hf 6.241 4.832 0.000
Hf 4.393 7.280 3.100
```

Summary:
Formation enthalpy at 0 K ... 0.187 eV per atom
Space group ... C2/m, No. 12

---

Record 8
Material: HfAl2Os2
Method: DFT, PBE
State: relaxed

The structure in extended XYZ format:
```
5
Lattice="3.164 0.000 0.000 0.000 3.066 0.581 0.000 -0.034 8.562" Properties=species:S:1:pos:R:3 pbc="T T T"
Os 1.582 1.216 1.962
Al 0.000 0.531 5.575
Al 0.000 2.500 3.567
Os 1.582 1.815 7.180
Hf 0.000 0.000 0.000
```

Summary:
Excess energy over the best structure of this formula in the dataset ... 0.004 eV per atom
Formation enthalpy at 0 K ... -0.371 eV per atom
Space group ... Cmmm, No. 65

---

Record 9
Material: Hf5AlOs4
Method: DFT, PBE
State: relaxed

The structure in extended XYZ format:
```
10
Lattice="3.261 0.000 0.000 0.000 3.261 0.000 0.000 0.000 16.443" Properties=species:S:1:pos:R:3 pbc="T T T"
Hf 1.631 1.631 4.982
Os 0.000 0.000 13.113
Al 0.000 0.000 0.000
Hf 1.631 1.631 11.461
Os 0.000 0.000 9.848
Hf 1.631 1.631 8.221
Os 0.000 0.000 6.595
Os 0.000 0.000 3.330
Hf 1.631 1.631 14.682
Hf 1.631 1.631 1.760
```

Summary:
Formation enthalpy at 0 K ... -0.592 eV per atom
Space group ... P4/mmm, No. 123

---

Record 10
Material: Hf6Al2Os
Method: DFT, PBE
State: relaxed

The structure in extended XYZ format:
```
18
Lattice="-1.759 -2.394 4.423 7.378 -0.015 2.927 -1.732 7.367 4.405" Properties=species:S:1:pos:R:3 pbc="T T T"
Os 2.809 -1.205 3.675
Hf 2.022 4.297 6.434
Hf 5.309 -0.601 4.463
Al -0.291 0.978 3.223
Al 3.937 1.498 3.329
Hf -1.422 5.559 7.291
Hf 4.525 2.244 6.231
Hf 1.763 4.733 10.241
Os -0.866 3.684 2.202
Al -0.051 3.460 8.425
Hf -1.299 5.548 4.051
Al 4.177 3.980 8.531
Hf 1.864 0.661 5.320
Hf 5.185 -0.590 7.703
Hf 2.124 0.225 1.513
Hf 1.492 3.070 3.341
Hf 2.395 1.888 8.413
Hf -0.639 2.714 5.523
```

Summary:
Formation enthalpy at 0 K ... -0.171 eV per atom
Space group ... P2_1/c, No. 14

---

Record 11
Material: Hf2Al2Os
Method: DFT, PBE
State: relaxed

The structure in extended XYZ format:
```
10
Lattice="-5.628 -1.187 4.695 0.135 -7.234 -1.666 2.249 -0.547 2.558" Properties=species:S:1:pos:R:3 pbc="T T T"
Al -0.993 -1.598 2.858
Hf -4.526 -5.889 2.720
Hf -0.967 -2.532 0.308
Os -2.746 -4.210 1.514
Al -3.772 -4.060 4.775
Al -2.251 -7.370 2.729
Hf -1.693 -6.316 0.138
Al 0.528 -4.908 0.812
Os 0.000 0.000 0.000
Hf -3.800 -2.104 2.891
```

Summary:
Excess energy over the best structure of this formula in the dataset ... 0.698 eV per atom
Formation enthalpy at 0 K ... 0.310 eV per atom
Space group ... P4/mbm, No. 127

---

Record 12
Material: HfAlOs
Method: DFT, PBE
State: relaxed

The structure in extended XYZ format:
```
3
Lattice="3.146 0.000 0.000 0.000 3.146 0.000 -1.573 -1.573 5.096" Properties=species:S:1:pos:R:3 pbc="T T T"
Al 1.573 1.573 4.824
Os 1.573 1.573 1.081
Hf 0.000 0.000 2.758
```

Summary:
Formation enthalpy at 0 K ... -0.457 eV per atom
Space group ... I4mm, No. 107

---

Record 13
Material: HfAl2Os2
Method: DFT, PBE
State: relaxed

The structure in extended XYZ format:
```
10
Lattice="7.288 0.000 0.000 0.000 7.288 0.000 0.000 0.000 2.929" Properties=species:S:1:pos:R:3 pbc="T T T"
Al 6.388 4.544 0.000
Hf 0.000 0.000 0.000
Hf 3.644 3.644 0.000
Os 2.373 1.271 1.465
Os 6.017 2.373 1.465
Al 0.900 2.744 0.000
Os 1.271 4.915 1.465
Al 4.544 0.900 0.000
Os 4.915 6.017 1.465
Al 2.744 6.388 0.000
```

Summary:
Excess energy over the best structure of this formula in the dataset ... 0.000 eV per atom
Formation enthalpy at 0 K ... -0.376 eV per atom
Space group ... P4/mbm, No. 127

---

Record 14
Material: HfAl2Os2
Method: DFT, PBE
State: relaxed

The structure in extended XYZ format:
```
5
Lattice="-1.584 2.530 1.845 -2.273 0.493 -2.627 -6.018 -3.010 2.298" Properties=species:S:1:pos:R:3 pbc="T T T"
Os -7.053 -0.511 1.320
Os -2.822 0.524 0.197
Al -5.110 -0.503 -0.360
Hf 0.000 0.000 0.000
Al -4.765 0.516 1.876
```

Summary:
Excess energy over the best structure of this formula in the dataset ... 0.070 eV per atom
Formation enthalpy at 0 K ... -0.306 eV per atom
Space group ... I4/mmm, No. 139

---

Record 15
Material: Hf2AlOsS
Method: DFT, PBE
State: relaxed

The structure in extended XYZ format:
```
5
Lattice="5.035 0.000 0.000 0.000 4.125 0.000 0.000 0.000 5.035" Properties=species:S:1:pos:R:3 pbc="T T T"
Hf 0.000 0.000 2.518
Os 2.518 2.062 2.518
Hf 2.518 0.000 0.000
S 0.000 2.062 0.000
Al 0.000 0.000 0.000
```

Summary:
Uncorrected formation energy ... 1.176 eV per atom
Space group ... P4/mmm, No. 123

---

Record 16
Material: HfAlSbOs2
Method: DFT, PBE
State: relaxed

The structure in extended XYZ format:
```
5
Lattice="4.877 0.000 0.000 0.000 5.309 0.000 0.000 0.000 4.877" Properties=species:S:1:pos:R:3 pbc="T T T"
Sb 0.000 2.654 0.000
Al 2.438 2.654 2.438
Os 2.438 0.000 0.000
Os 0.000 0.000 2.438
Hf 0.000 0.000 0.000
```

Summary:
Uncorrected formation energy ... 1.843 eV per atom
Space group ... P4/mmm, No. 123

---

Record 17
Material: HfScAlOs
Method: DFT, PBE
State: relaxed

The structure in extended XYZ format:
```
4
Lattice="3.286 0.000 0.000 0.000 3.286 0.000 0.000 0.000 6.634" Properties=species:S:1:pos:R:3 pbc="T T T"
Hf 0.000 0.000 5.589
Al 1.643 1.643 0.702
Os 1.643 1.643 4.049
Sc 0.000 0.000 2.450
```

Summary:
Formation enthalpy at 0 K ... -0.531 eV per atom
Space group ... P4mm, No. 99

---

Record 18
Material: TmHfAlOs
Method: DFT, PBE
State: relaxed

The structure in extended XYZ format:
```
4
Lattice="4.763 0.000 0.000 2.382 4.125 0.000 2.382 1.375 3.889" Properties=species:S:1:pos:R:3 pbc="T T T"
Hf 2.382 1.375 0.972
Os 4.763 2.750 1.945
Al 0.000 0.000 0.000
Tm 7.145 4.125 2.917
```

Summary:
Formation enthalpy at 0 K ... -0.353 eV per atom
Space group ... F-43m, No. 216

---

Record 19
Material: HfAl2OsW
Method: DFT, PBE
State: relaxed

The structure in extended XYZ format:
```
5
Lattice="-0.111 0.593 4.680 1.923 -4.469 0.612 4.340 1.849 -0.132" Properties=species:S:1:pos:R:3 pbc="T T T"
Al -0.055 0.297 2.340
Os 3.076 -1.013 2.580
W 0.000 0.000 0.000
Hf 0.962 -2.234 0.306
Al 2.170 0.925 -0.066
```

Summary:
Formation enthalpy at 0 K ... 1.471 eV per atom
Space group ... P4/mmm, No. 123

---

Record 20
Material: HfAlZnOs2
Method: DFT, PBE
State: relaxed

The structure in extended XYZ format:
```
5
Lattice="-1.085 -1.746 -4.363 0.701 -4.693 1.704 -4.651 -0.240 1.253" Properties=species:S:1:pos:R:3 pbc="T T T"
Hf 0.000 0.000 0.000
Os -2.326 -0.120 0.626
Al 0.351 -2.346 0.852
Os -0.542 -0.873 -2.181
Zn -2.517 -3.339 -0.703
```

Summary:
Formation enthalpy at 0 K ... 1.861 eV per atom
Space group ... P4/mmm, No. 123